{"formula": "Tm2MnF8", "functional": "PBE+U", "state": "relaxed", "n_ef_per_ev_atom": 0.000, "e_tot_ev_per_fu": -72.23, "crystal_system": "monoclinic", "m_tot_mub_per_fu": 5.0, "lattice": [[-3.4522, 0.3184, 0.7514], [-1.2080, -1.1289, -5.0720], [1.9843, -6.4065, 3.4583]], "species": ["Tm", "Tm", "Mn", "F", "F", "F", "F", "F", "F", "F", "F"], "frac_coords": [[0.1767, 0.6870, 0.3535], [0.8233, 0.3130, 0.6465], [0.5000, 0.0000, 0.0000], [0.5958, 0.4409, 0.1916], [0.3186, 0.0368, 0.6373], [0.2194, 0.3296, 0.4388], [0.0458, 0.8253, 0.0916], [0.7806, 0.6704, 0.5612], [0.6814, 0.9632, 0.3627], [0.4042, 0.5591, 0.8084], [0.9542, 0.1747, 0.9084]]}